1.
Re2Ni | GGA-PBEsol | optimized geometry

a = 2.666 Å, b = 13.997 Å, c = 4.281 Å
α = 90.00°, β = 90.00°, γ = 90.00°
Space group Cmcm (No. 63)
Inequivalent atoms, fractional coordinates:
Re1 0.000 0.052 0.250
Re2 0.000 0.279 0.750
Ni1 0.000 0.390 0.250

Summary:
Energy above the most stable polymorph in this dataset ... 0 meV per atom



2.
ReNi8 | GGA-PBEsol | optimized geometry

a = 7.407 Å, b = 7.407 Å, c = 3.531 Å
α = 90.00°, β = 90.00°, γ = 90.00°
Space group I4/mmm (No. 139)
Inequivalent atoms, fractional coordinates:
Re1 0.000 0.000 0.000
Ni1 0.000 0.333 0.000
Ni2 0.166 0.166 0.500



3.
ReNi3 | GGA-PBEsol | optimized geometry

a = 2.5856 Å, b = 2.5856 Å, c = 24.2833 Å
α = 90.00°, β = 90.00°, γ = 120.00°
Space group R-3m (No. 166, hexagonal axes)
Inequivalent atoms, fractional coordinates:
Re1 0.0000 0.0000 0.0000
Ni1 0.0000 0.0000 0.2474
Ni2 0.0000 0.0000 0.5000



4.
ReNi3 | GGA-PBEsol | optimized geometry

a = 2.543 Å, b = 4.107 Å, c = 4.388 Å
α = 90.00°, β = 90.00°, γ = 90.00°
Space group Pmm2 (No. 25)
Inequivalent atoms, fractional coordinates:
Re1 0.000 0.000 0.000
Ni1 0.000 0.500 0.680
Ni2 0.500 0.000 0.501
Ni3 0.500 0.500 0.186



5.
ReNi2 | GGA-PBEsol | optimized geometry

a = 5.168 Å, b = 3.548 Å, c = 7.709 Å
α = 90.00°, β = 90.00°, γ = 90.00°
Space group Pnma (No. 62)
Inequivalent atoms, fractional coordinates:
Re1 0.125 0.250 0.079
Ni1 0.118 0.250 0.415
Ni2 0.130 0.250 0.750

Summary:
Energy above the most stable polymorph in this dataset ... 65 meV per atom



6.
Re5Ni | GGA-PBEsol | optimized geometry

a = 4.7193 Å, b = 4.7193 Å, c = 4.3435 Å
α = 90.00°, β = 90.00°, γ = 120.00°
Space group P-62m (No. 189)
Inequivalent atoms, fractional coordinates:
Re1 0.0000 0.6731 0.0000
Re2 0.3333 0.6667 0.5000
Ni1 0.0000 0.0000 0.5000

Summary:
Energy above the most stable polymorph in this dataset ... 0 meV per atom



7.
Re3Ni | GGA-PBEsol | optimized geometry

a = 4.384 Å, b = 4.384 Å, c = 4.384 Å
α = 90.00°, β = 90.00°, γ = 90.00°
Space group Pm-3m (No. 221)
Inequivalent atoms, fractional coordinates:
Re1 0.000 0.000 0.500
Ni1 0.000 0.000 0.000



8.
ReNi2 | GGA-PBEsol | optimized geometry

a = 4.5997 Å, b = 4.5997 Å, c = 14.9850 Å
α = 90.00°, β = 90.00°, γ = 120.00°
Space group P6_3/mmc (No. 194)
Inequivalent atoms, fractional coordinates:
Re1 0.0000 0.0000 0.0949
Re2 0.3333 0.6667 0.1570
Ni1 0.0000 0.5000 0.0000
Ni2 0.1634 0.3268 0.7500
Ni3 0.3333 0.6667 0.6249

Summary:
Energy above the most stable polymorph in this dataset ... 73 meV per atom



no.,V (A^3/atom),formation energy (meV per atom)
1,13.3,-41
2,10.8,-28
3,11.7,102
4,11.5,21
5,11.8,-6
6,14.0,-29
7,21.1,3055
8,11.4,2